Here is an optimized crystal structure of MgW2Br from the Alexandria database. Energies are from PBE.

Structure (POSCAR):
```
MgW2Br
1.0
3.798 0.000 0.000
0.000 3.798 0.000
0.000 0.000 5.078
Mg W Br
1 2 1
direct
0.000 0.000 0.000 Mg
0.000 0.500 0.500 W
0.500 0.000 0.500 W
0.500 0.500 0.000 Br
```

VASP energy ... -25.04 eV per cell
Density of states at the Fermi level ... 0.554 states/eV/atom
Formation energy without anion corrections ... 99.8 kJ/mol of atoms
Theoretical density ... 10.70 g/cm³
Space-group type ... P4/mmm
Offset from the most stable computed form ... 750 meV per atom

---

Here is an optimized crystal structure of ScOsPb3 from the Alexandria database. Energies are from PBE.

Structure (POSCAR):
```
ScOsPb3
1.0
5.287 0.000 0.000
0.000 5.287 0.000
0.000 0.000 5.287
Sc Os Pb
1 1 3
direct
0.000 0.000 0.000 Sc
0.500 0.500 0.500 Os
0.000 0.500 0.500 Pb
0.500 0.000 0.500 Pb
0.500 0.500 0.000 Pb
```

VASP energy ... -25.27 eV per cell
Density of states at the Fermi level ... 1.638 states/eV/atom
Theoretical density ... 9.63 g/cm³
Space-group type ... Pm-3m

---

Here is an optimized crystal structure of Rb2ZnWS4 from the Alexandria database. Energies are from PBE.

Structure (POSCAR):
```
Rb2ZnWS4
1.0
0.000 6.557 11.664
3.315 0.000 11.664
3.315 6.557 0.000
Rb Zn W S
4 2 2 8
direct
0.053 0.053 0.697 Rb
0.303 0.303 0.947 Rb
0.697 0.697 0.053 Rb
0.947 0.947 0.303 Rb
0.125 0.125 0.125 Zn
0.875 0.875 0.875 Zn
0.375 0.375 0.375 W
0.625 0.625 0.625 W
0.003 0.646 0.566 S
0.284 0.566 0.646 S
0.354 0.997 0.716 S
0.434 0.716 0.997 S
0.566 0.284 0.003 S
0.646 0.003 0.284 S
0.716 0.434 0.354 S
0.997 0.354 0.434 S
```

VASP energy ... -77.13 eV per cell
Density of states at the Fermi level ... 0.337 states/eV/atom
Formation energy without anion corrections ... -71.1 kJ/mol of atoms
Theoretical density ... 3.59 g/cm³
Space-group type ... Fddd